Material: LaHgP2S8
Method: DFT, PBE-GGA
State: relaxed

- total magnetic moment (μB per cell) = 0.00
- electronic total energy (eV/atom) = -4.50
- SG = P-3m1, No. 164
- uncorrected formation energy (eV per atom) = -0.407

Lattice parameters (Å, degrees): 6.441 6.441 9.198 90.00 90.00 120.00
Fractional positions:
La (0.000, 0.000, 0.000)
Hg (0.000, 0.000, 0.500)
P (0.333, 0.667, 0.192)
P (0.667, 0.333, 0.808)
S (0.159, 0.318, 0.264)
S (0.159, 0.841, 0.264)
S (0.318, 0.159, 0.736)
S (0.333, 0.667, 0.974)
S (0.667, 0.333, 0.026)
S (0.682, 0.841, 0.264)
S (0.841, 0.159, 0.736)
S (0.841, 0.682, 0.736)

***

Material: LaHgP2S
Method: DFT, PBE-GGA
State: relaxed

- total magnetic moment (μB per cell) = 1.90
- energy relative to the lowest polymorph listed for this composition (meV/atom) = 411.5
- electronic total energy (eV/atom) = -3.56
- SG = P4/mmm, No. 123
- uncorrected formation energy (eV per atom) = 0.479

Lattice parameters (Å, degrees): 5.753 5.753 5.439 90.00 90.00 90.00
Fractional positions:
La (0.000, 0.000, 0.000)
Hg (0.500, 0.500, 0.500)
P (0.000, 0.500, 0.000)
P (0.500, 0.000, 0.000)
S (0.000, 0.000, 0.500)

***

Material: LaHgPS2
Method: DFT, PBE-GGA
State: relaxed

- total magnetic moment (μB per cell) = 3.44
- energy relative to the lowest polymorph listed for this composition (meV/atom) = 281.8
- electronic total energy (eV/atom) = -3.69
- SG = P4/mmm, No. 123
- uncorrected formation energy (eV per atom) = 0.085

Lattice parameters (Å, degrees): 5.540 5.540 6.036 90.00 90.00 90.00
Fractional positions:
La (0.000, 0.000, 0.000)
Hg (0.500, 0.500, 0.500)
P (0.000, 0.000, 0.500)
S (0.000, 0.500, 0.000)
S (0.500, 0.000, 0.000)

***

Material: La4HgPSe2
Method: DFT, PBE-GGA
State: relaxed

- total magnetic moment (μB per cell) = 0.00
- electronic total energy (eV/atom) = -5.52
- SG = P2/m, No. 10
- uncorrected formation energy (eV per atom) = -1.472

Lattice parameters (Å, degrees): 7.556 4.313 7.642 90.00 108.94 90.00
Fractional positions:
La (0.244, 0.000, 0.234)
La (0.256, 0.500, 0.766)
La (0.744, 0.500, 0.234)
La (0.756, 0.000, 0.766)
Hg (0.000, 0.000, 0.500)
P (0.000, 0.500, 0.000)
Se (0.500, 0.000, 0.000)
Se (0.500, 0.500, 0.500)

***

Material: LaSiHgP2
Method: DFT, PBE-GGA
State: relaxed

- total magnetic moment (μB per cell) = 0.00
- electronic total energy (eV/atom) = -3.48
- SG = P4/mmm, No. 123
- uncorrected formation energy (eV per atom) = 0.818

Lattice parameters (Å, degrees): 4.868 4.868 5.993 90.00 90.00 90.00
Fractional positions:
La (0.000, 0.000, 0.000)
Si (0.500, 0.500, 0.000)
Hg (0.000, 0.000, 0.500)
P (0.000, 0.500, 0.500)
P (0.500, 0.000, 0.500)

***

Material: LaTc2HgP
Method: DFT, PBE-GGA
State: relaxed

- total magnetic moment (μB per cell) = 1.55
- electronic total energy (eV/atom) = -6.06
- SG = P4/mmm, No. 123
- energy of formation (eV/f.u.) = 1.07

Lattice parameters (Å, degrees): 4.527 4.527 5.436 90.00 90.00 90.00
Fractional positions:
La (0.000, 0.000, 0.000)
Tc (0.000, 0.500, 0.500)
Tc (0.500, 0.000, 0.500)
Hg (0.500, 0.500, 0.000)
P (0.000, 0.000, 0.500)

***

Material: La2VHgP
Method: DFT, PBE-GGA
State: relaxed

- total magnetic moment (μB per cell) = 2.66
- electronic total energy (eV/atom) = -4.65
- SG = P4/mmm, No. 123
- energy of formation (eV/f.u.) = 1.43

Lattice parameters (Å, degrees): 5.332 5.332 4.989 90.00 90.00 90.00
Fractional positions:
La (0.000, 0.500, 0.000)
La (0.500, 0.000, 0.000)
V (0.000, 0.000, 0.000)
Hg (0.000, 0.000, 0.500)
P (0.500, 0.500, 0.500)

***

Material: LaPaHg
Method: DFT, PBE-GGA
State: relaxed

- total magnetic moment (μB per cell) = 0.00
- electronic total energy (eV/atom) = -4.94
- SG = Cm, No. 8
- energy of formation (eV/f.u.) = -0.08

Lattice parameters (Å, degrees): 5.272 5.272 6.934 91.15 91.15 62.14
Fractional positions:
La (0.000, 0.000, 0.000)
La (0.667, 0.667, 0.671)
Pa (0.031, 0.031, 0.418)
Pa (0.326, 0.326, 0.330)
Hg (0.329, 0.329, 0.805)
Hg (0.668, 0.668, 0.194)